[1]
38
Lattice="12.5483 0.0000 0.0000 0.0000 12.5483 0.0000 0.0000 0.0000 4.2013" Properties=species:S:1:pos:R:3 comment="Lu5Si10Ir4, relaxed, DFT PBE" e_tot_ev_per_fu=-128.96 pbc="T T T"
Ir 9.4667 0.2454 0.0000
Ir 0.2454 3.0816 0.0000
Ir 6.5196 3.1925 0.0000
Ir 3.1925 6.0287 0.0000
Ir 9.3558 6.5196 0.0000
Ir 6.0287 9.3558 0.0000
Ir 12.3029 9.4667 0.0000
Ir 3.0816 12.3029 0.0000
Lu 0.0000 0.0000 0.0000
Lu 6.2742 6.2742 0.0000
Lu 4.8245 1.4497 2.1006
Lu 8.4622 2.1881 2.1006
Lu 2.1881 4.0861 2.1006
Lu 11.0987 4.8245 2.1006
Lu 1.4497 7.7238 2.1006
Lu 10.3603 8.4622 2.1006
Lu 4.0861 10.3603 2.1006
Lu 7.7238 11.0987 2.1006
Si 7.1022 0.8281 0.0000
Si 2.5213 2.0690 0.0000
Si 10.4793 2.5213 0.0000
Si 4.2051 3.7529 0.0000
Si 8.7955 4.2051 0.0000
Si 0.8281 5.4461 0.0000
Si 11.7203 7.1022 0.0000
Si 3.7529 8.3432 0.0000
Si 8.3432 8.7955 0.0000
Si 2.0690 10.0271 0.0000
Si 10.0271 10.4793 0.0000
Si 5.4461 11.7203 0.0000
Si 10.6069 0.0448 2.1006
Si 0.0448 1.9414 2.1006
Si 6.3190 4.3328 2.1006
Si 4.3328 6.2293 2.1006
Si 8.2156 6.3190 2.1006
Si 6.2293 8.2156 2.1006
Si 12.5035 10.6069 2.1006
Si 1.9414 12.5035 2.1006



[2]
4
Lattice="-0.8003 2.8074 3.9385 -4.4276 0.0669 2.1037 -0.6575 -2.0717 4.3942" Properties=species:S:1:pos:R:3 comment="Lu2SnIr, relaxed, DFT PBE" e_tot_ev_per_fu=-23.43 pbc="T T T"
Ir -1.4714 0.2007 2.6091
Lu 0.0000 0.0000 0.0000
Lu -4.4141 0.6020 7.8273
Sn -2.9427 0.4013 5.2182



[3]
4
Lattice="0.0000 3.3293 3.3293 3.3293 0.0000 3.3293 3.3293 3.3293 0.0000" Properties=species:S:1:pos:R:3 comment="LuSnIr2, relaxed, DFT PBE" e_tot_ev_per_fu=-26.67 pbc="T T T"
Ir 0.0000 0.0000 0.0000
Ir 4.9939 4.9939 4.9939
Lu 1.6646 1.6646 1.6646
Sn 3.3293 3.3293 3.3293



[4]
4
Lattice="2.0914 -2.0225 3.9889 -1.2149 -4.5859 1.3672 3.2573 -3.6743 -0.5154" Properties=species:S:1:pos:R:3 comment="LuSn2Ir, relaxed, DFT PBE" e_tot_ev_per_fu=-22.53 pbc="T T T"
Ir 3.1004 -7.7120 3.6305
Lu 2.0669 -5.1413 2.4204
Sn 0.0000 0.0000 0.0000
Sn 1.0335 -2.5707 1.2102



[5]
10
Lattice="5.3722 -2.2279 0.0000 5.3722 2.2279 0.0000 -4.6774 0.0000 9.7732" Properties=species:S:1:pos:R:3 comment="TmLuSn2Ir, relaxed, DFT PBE" e_tot_ev_per_fu=-29.61 pbc="T T T"
Ir 2.1468 0.0000 1.7312
Ir 3.9203 0.0000 8.0420
Lu -0.7616 0.0000 1.6912
Lu 6.8287 0.0000 8.0820
Sn 6.8099 0.0000 0.4503
Sn 3.9505 0.0000 3.7655
Sn 2.1166 0.0000 6.0077
Sn -0.7428 0.0000 9.3229
Tm 7.0273 0.0000 3.6122
Tm -0.9602 0.0000 6.1609



[6]
4
Lattice="0.0000 3.4203 3.4203 3.4203 0.0000 3.4203 3.4203 3.4203 0.0000" Properties=species:S:1:pos:R:3 comment="SrLuIr2, relaxed, DFT PBE" e_tot_ev_per_fu=-23.44 pbc="T T T"
Ir 0.0000 0.0000 0.0000
Ir 5.1304 5.1304 5.1304
Lu 1.7101 1.7101 1.7101
Sr 3.4203 3.4203 3.4203